No. 1
# SmDy6Tm5

Crystalline SmDy6Tm5 at its relaxed geometry (PBE, Alexandria).

Properties
ΔH_f (0 K), kJ/mol of atoms: 2

Lattice parameters (Å, degrees): 4.981 7.887 9.968 90.00 90.00 71.59
Atoms (fractional coordinates):
Tm  0.333  0.333  0.500
Tm  0.668  0.665  0.000
Tm  0.000  0.000  0.500
Tm  0.332  0.335  0.000
Tm  0.667  0.667  0.500
Sm  0.000  0.000  0.000
Dy  0.167  0.666  0.251
Dy  0.167  0.666  0.749
Dy  0.500  0.000  0.748
Dy  0.500  0.000  0.252
Dy  0.833  0.334  0.251
Dy  0.833  0.334  0.749

No. 2
# LaSc2Ir

Crystalline LaSc2Ir at its relaxed geometry (PBE, Alexandria).

Properties
ΔH_f (0 K), kJ/mol of atoms: -17
Energy relative to the lowest polymorph listed for this composition, eV per formula unit: 1.24

Lattice parameters (Å, degrees): 8.937 8.937 8.937 24.72 24.72 24.72
Atoms (fractional coordinates):
Ir  0.493  0.493  0.493
La  0.228  0.228  0.228
Sc  0.007  0.007  0.007
Sc  0.772  0.772  0.772

No. 3
# KBiAs

Crystalline KBiAs at its relaxed geometry (PBE, Alexandria).

Properties
ΔH_f (0 K), kJ/mol of atoms: -21
Energy relative to the lowest polymorph listed for this composition, eV per formula unit: 0.08

Lattice parameters (Å, degrees): 4.085 5.507 10.175 85.33 90.00 111.77
Atoms (fractional coordinates):
K  0.039  0.078  0.786
K  0.961  0.922  0.214
Bi  0.339  0.677  0.554
Bi  0.661  0.323  0.446
As  0.687  0.375  0.039
As  0.313  0.625  0.961

No. 4
# Hf3AuC

Crystalline Hf3AuC at its relaxed geometry (PBE, Alexandria).

Properties
ΔH_f (0 K), kJ/mol of atoms: -56
Energy relative to the lowest polymorph listed for this composition, eV per formula unit: 0.55

Lattice parameters (Å, degrees): 3.392 7.256 7.843 107.26 90.00 90.00
Atoms (fractional coordinates):
Hf  0.750  0.622  0.368
Hf  0.250  0.378  0.632
Hf  0.750  0.309  0.944
Hf  0.250  0.961  0.653
Hf  0.250  0.691  0.056
Hf  0.750  0.039  0.347
Au  0.250  0.296  0.224
Au  0.750  0.704  0.776
C  0.250  0.827  0.356
C  0.750  0.173  0.644

No. 5
# Cr2Ni2Os

Crystalline Cr2Ni2Os at its relaxed geometry (PBE, Alexandria).

Properties
ΔH_f (0 K), kJ/mol of atoms: 32
Energy relative to the lowest polymorph listed for this composition, eV per formula unit: 0.63

Lattice parameters (Å, degrees): 6.863 6.863 2.565 90.00 90.00 90.00
Atoms (fractional coordinates):
Ni  0.184  0.684  0.500
Ni  0.684  0.816  0.500
Ni  0.816  0.316  0.500
Ni  0.316  0.184  0.500
Os  0.000  0.000  0.000
Os  0.500  0.500  0.000
Cr  0.390  0.890  0.000
Cr  0.890  0.610  0.000
Cr  0.610  0.110  0.000
Cr  0.110  0.390  0.000

No. 6
# ScMo2Cl

Crystalline ScMo2Cl at its relaxed geometry (PBE, Alexandria).

Properties
E_form (uncorrected), kJ per mole of atoms: -2
Energy relative to the lowest polymorph listed for this composition, eV per formula unit: 0.84

Lattice parameters (Å, degrees): 6.428 6.428 3.411 105.36 105.36 30.79
Atoms (fractional coordinates):
Cl  0.250  0.250  0.250
Mo  0.048  0.048  0.047
Mo  0.452  0.452  0.453
Sc  0.750  0.750  0.750